Density functional theory data (PBE) for crystalline Y2Zr3Ge4 at its relaxed geometry.

It has space group P2_1/c (No. 14), with a = 7.460 Å, b = 7.454 Å, c = 7.253 Å, α = 90.00°, β = 109.39° and γ = 90.00°. The asymmetric unit holds Y at (0.189, 0.173, 0.066), Zr at (0.252, 0.676, 0.248), Zr at (0.500, 0.000, 0.500), Ge at (0.083, 0.534, 0.856) and Ge at (0.488, 0.132, 0.864).

The raw total energy is -130.35 eV/cell. For the formation enthalpy at 0 K, the calculation gives -903 meV/atom.

***

Density functional theory data (PBE) for crystalline Y5ZrGe4 at its relaxed geometry.

It has space group C2/m (No. 12), with a = 17.813 Å, b = 4.104 Å, c = 7.771 Å, α = 90.00°, β = 107.24° and γ = 90.00°. The asymmetric unit holds Y at (0.000, 0.000, 0.000), Y at (0.167, 0.500, 0.347), Y at (0.168, 0.500, 0.861), Zr at (0.000, 0.000, 0.500), Ge at (0.001, 0.500, 0.742) and Ge at (0.167, 0.000, 0.609).

The raw total energy is -130.46 eV/cell. For the formation enthalpy at 0 K, the calculation gives -589 meV/atom.

***

Density functional theory data (PBE) for crystalline Y2ZrGe2 at its relaxed geometry.

It has space group P4/mbm (No. 127), with a = 7.445 Å, b = 7.445 Å, c = 4.151 Å, α = 90.00°, β = 90.00° and γ = 90.00°. The asymmetric unit holds Y at (0.170, 0.330, 0.000), Zr at (0.000, 0.000, 0.500) and Ge at (0.135, 0.635, 0.500).

The raw total energy is -69.13 eV/cell. For the formation enthalpy at 0 K, the calculation gives -771 meV/atom.

***

Density functional theory data (PBE) for crystalline Y3ZrGe at its relaxed geometry.

It has space group Pm-3m (No. 221), with a = 5.448 Å, b = 5.448 Å, c = 5.448 Å, α = 90.00°, β = 90.00° and γ = 90.00°. The asymmetric unit holds Y at (0.000, 0.000, 0.500), Zr at (0.000, 0.000, 0.000) and Ge at (0.500, 0.500, 0.500).

The raw total energy is -28.93 eV/cell. For the polymorph energy (0 for the lowest one), the calculation gives 558.9 meV per atom. For the formation enthalpy at 0 K, the calculation gives 726 meV/atom.

***

Density functional theory data (PBE) for crystalline Y2ZrGe at its relaxed geometry.

It has space group I-42d (No. 122), with a = 8.430 Å, b = 8.430 Å, c = 5.914 Å, α = 90.00°, β = 90.00° and γ = 90.00°. The asymmetric unit holds Y at (0.206, 0.250, 0.125), Zr at (0.000, 0.000, 0.500) and Ge at (0.000, 0.000, 0.000).

The raw total energy is -103.84 eV/cell. For the formation enthalpy at 0 K, the calculation gives 34 meV/atom.

***

Density functional theory data (PBE) for crystalline YZr2Ge at its relaxed geometry.

It has space group I-42d (No. 122), with a = 8.242 Å, b = 8.242 Å, c = 5.774 Å, α = 90.00°, β = 90.00° and γ = 90.00°. The asymmetric unit holds Y at (0.000, 0.000, 0.000), Zr at (0.199, 0.250, 0.625) and Ge at (0.000, 0.000, 0.500).

The raw total energy is -113.25 eV/cell. For the formation enthalpy at 0 K, the calculation gives -34 meV/atom.

***

Density functional theory data (PBE) for crystalline Yb2Ge at its relaxed geometry.

It has space group Pnma (No. 62), with a = 7.314 Å, b = 4.790 Å, c = 9.045 Å, α = 90.00°, β = 90.00° and γ = 90.00°. The asymmetric unit holds Yb at (0.023, 0.250, 0.184), Yb at (0.158, 0.250, 0.572) and Ge at (0.245, 0.250, 0.892).

The raw total energy is -38.62 eV/cell. For the formation enthalpy at 0 K, the calculation gives -662 meV/atom.

***

Density functional theory data (PBE) for crystalline Yb5Ge3 at its relaxed geometry.

It has space group P6_3/mcm (No. 193), with a = 8.6589 Å, b = 8.6589 Å, c = 6.4998 Å, α = 90.00°, β = 90.00° and γ = 120.00°. The asymmetric unit holds Yb at (0.0000, 0.2677, 0.2500), Yb at (0.3333, 0.6667, 0.0000) and Ge at (0.0000, 0.3838, 0.7500).

The raw total energy is -53.63 eV/cell. For the formation enthalpy at 0 K, the calculation gives -666 meV/atom.

***

Density functional theory data (PBE) for crystalline YbGe3 at its relaxed geometry.

It has space group P6_3/mmc (No. 194), with a = 6.0643 Å, b = 6.0643 Å, c = 5.1984 Å, α = 90.00°, β = 90.00° and γ = 120.00°. The asymmetric unit holds Yb at (0.3333, 0.6667, 0.2500) and Ge at (0.1476, 0.2951, 0.7500).

The raw total energy is -33.39 eV/cell. For the formation enthalpy at 0 K, the calculation gives -330 meV/atom.

***

Density functional theory data (PBE) for crystalline Yb2ZnGe at its relaxed geometry.

It has space group Fm-3m (No. 225), with a = 7.159 Å, b = 7.159 Å, c = 7.159 Å, α = 90.00°, β = 90.00° and γ = 90.00°. The asymmetric unit holds Yb at (0.250, 0.250, 0.250), Zn at (0.000, 0.000, 0.000) and Ge at (0.000, 0.000, 0.500).

The raw total energy is -44.81 eV/cell. For the formation enthalpy at 0 K, the calculation gives -565 meV/atom.

***

Density functional theory data (PBE) for crystalline YbZnGe at its relaxed geometry.

It has space group C2/m (No. 12), with a = 10.370 Å, b = 4.382 Å, c = 7.098 Å, α = 90.00°, β = 130.98° and γ = 90.00°. The asymmetric unit holds Yb at (0.043, 0.000, 0.298), Zn at (0.159, 0.500, 0.097) and Ge at (0.167, 0.500, 0.706).

The raw total energy is -36.00 eV/cell. For the formation enthalpy at 0 K, the calculation gives -528 meV/atom.

***

Density functional theory data (PBE) for crystalline ZnGe6 at its relaxed geometry.

It has space group Im-3m (No. 229), with a = 7.083 Å, b = 7.083 Å, c = 7.083 Å, α = 90.00°, β = 90.00° and γ = 90.00°. The asymmetric unit holds Zn at (0.000, 0.000, 0.000) and Ge at (0.000, 0.250, 0.500).

The raw total energy is -54.42 eV/cell. For the formation enthalpy at 0 K, the calculation gives 253 meV/atom.

***

Density functional theory data (PBE) for crystalline Zn6Ge at its relaxed geometry.

It has space group Im-3m (No. 229), with a = 6.879 Å, b = 6.879 Å, c = 6.879 Å, α = 90.00°, β = 90.00° and γ = 90.00°. The asymmetric unit holds Zn at (0.000, 0.250, 0.500) and Ge at (0.000, 0.000, 0.000).

The raw total energy is -16.14 eV/cell. For the formation enthalpy at 0 K, the calculation gives 599 meV/atom.

***

Density functional theory data (PBE) for crystalline ZnGe3 at its relaxed geometry.

It has space group P6_3/mmc (No. 194), with a = 5.7213 Å, b = 5.7213 Å, c = 5.3245 Å, α = 90.00°, β = 90.00° and γ = 120.00°. The asymmetric unit holds Zn at (0.3333, 0.6667, 0.2500) and Ge at (0.1637, 0.3274, 0.7500).

The raw total energy is -27.94 eV/cell. For the formation enthalpy at 0 K, the calculation gives 289 meV/atom.

***

Density functional theory data (PBE) for crystalline ZnGe3 at its relaxed geometry.

It has space group Pm-3m (No. 221), with a = 4.213 Å, b = 4.213 Å, c = 4.213 Å, α = 90.00°, β = 90.00° and γ = 90.00°. The asymmetric unit holds Zn at (0.000, 0.000, 0.000) and Ge at (0.000, 0.500, 0.500).

The raw total energy is -13.97 eV/cell. For the formation enthalpy at 0 K, the calculation gives 290 meV/atom.

***

Density functional theory data (PBE) for crystalline Zn4Ge at its relaxed geometry.

It has space group Pm-3m (No. 221), with a = 4.849 Å, b = 4.849 Å, c = 4.849 Å, α = 90.00°, β = 90.00° and γ = 90.00°. The asymmetric unit holds Zn at (0.000, 0.000, 0.000), Zn at (0.000, 0.500, 0.500) and Ge at (0.500, 0.500, 0.500).

The raw total energy is -7.42 eV/cell. For the formation enthalpy at 0 K, the calculation gives 458 meV/atom.

***

Density functional theory data (PBE) for crystalline ZrZnGe3 at its relaxed geometry.

It has space group Pm-3m (No. 221), with a = 5.218 Å, b = 5.218 Å, c = 5.218 Å, α = 90.00°, β = 90.00° and γ = 90.00°. The asymmetric unit holds Zr at (0.000, 0.000, 0.000), Zn at (0.500, 0.500, 0.500) and Ge at (0.000, 0.000, 0.500).

The raw total energy is -20.94 eV/cell. For the polymorph energy (0 for the lowest one), the calculation gives 0.0 meV per atom. For the formation enthalpy at 0 K, the calculation gives 547 meV/atom.

***

Density functional theory data (PBE) for crystalline Zr2Zn2Ge at its relaxed geometry.

It has space group P4/mbm (No. 127), with a = 6.630 Å, b = 6.630 Å, c = 4.148 Å, α = 90.00°, β = 90.00° and γ = 90.00°. The asymmetric unit holds Zr at (0.172, 0.328, 0.000), Zn at (0.129, 0.629, 0.500) and Ge at (0.000, 0.000, 0.500).

The raw total energy is -51.59 eV/cell. For the polymorph energy (0 for the lowest one), the calculation gives 0.0 meV per atom. For the formation enthalpy at 0 K, the calculation gives -307 meV/atom.

***

Density functional theory data (PBE) for crystalline Zr2ZnGe2 at its relaxed geometry.

It has space group P4/mbm (No. 127), with a = 6.825 Å, b = 6.825 Å, c = 3.950 Å, α = 90.00°, β = 90.00° and γ = 90.00°. The asymmetric unit holds Zr at (0.171, 0.329, 0.000), Zn at (0.000, 0.000, 0.500) and Ge at (0.133, 0.633, 0.500).

The raw total energy is -60.40 eV/cell. For the formation enthalpy at 0 K, the calculation gives -519 meV/atom.

***

Density functional theory data (PBE) for crystalline Zr2ZnGe2 at its relaxed geometry.

It has space group P4/mbm (No. 127), with a = 7.352 Å, b = 7.352 Å, c = 3.691 Å, α = 90.00°, β = 90.00° and γ = 90.00°. The asymmetric unit holds Zr at (0.150, 0.350, 0.000), Zn at (0.000, 0.000, 0.000) and Ge at (0.156, 0.656, 0.500).

The raw total energy is -58.58 eV/cell. For the formation enthalpy at 0 K, the calculation gives -337 meV/atom.